<w>
! VC3F PBE+U relaxed; values from VASP
! * magnetization: 0.38 μB/atom
&SYSTEM
  ibrav = 0, nat = 5, ntyp = 3
/
ATOMIC_SPECIES
C 12.01 C.upf
V 50.94 V.upf
F 19.00 F.upf
ATOMIC_POSITIONS crystal
C 0.000 0.500 0.000
C 0.000 0.000 0.500
C 0.500 0.000 0.000
V 0.500 0.500 0.500
F 0.000 0.000 0.000
CELL_PARAMETERS angstrom
3.667 0.000 0.000
0.000 3.667 0.000
0.000 0.000 3.667



<x>
! VC3F PBE+U relaxed; values from VASP
! * magnetization: 0.07 μB/atom
&SYSTEM
  ibrav = 0, nat = 5, ntyp = 3
/
ATOMIC_SPECIES
C 12.01 C.upf
V 50.94 V.upf
F 19.00 F.upf
ATOMIC_POSITIONS crystal
C 0.000 0.500 0.000
C 0.000 0.000 0.500
C 0.500 0.000 0.000
V 0.000 0.000 0.000
F 0.500 0.500 0.500
CELL_PARAMETERS angstrom
3.933 0.000 0.000
0.000 3.933 0.000
0.000 0.000 3.933



Most stable of them? <x>.



<w>
! V2CF2 PBE+U relaxed; values from VASP
! * magnetization: 0.39 μB/atom
&SYSTEM
  ibrav = 0, nat = 5, ntyp = 3
/
ATOMIC_SPECIES
C 12.01 C.upf
V 50.94 V.upf
F 19.00 F.upf
ATOMIC_POSITIONS crystal
C 0.000 0.000 0.000
V 0.392 0.392 0.216
V 0.608 0.608 0.784
F 0.750 0.250 0.500
F 0.250 0.750 0.500
CELL_PARAMETERS angstrom
3.072 0.000 0.000
0.000 3.072 0.000
1.536 1.536 5.366



<x>
! V2CF2 PBE+U relaxed; values from VASP
! * magnetization: 0.00 μB/atom
&SYSTEM
  ibrav = 0, nat = 10, ntyp = 3
/
ATOMIC_SPECIES
C 12.01 C.upf
V 50.94 V.upf
F 19.00 F.upf
ATOMIC_POSITIONS crystal
C 0.000 0.000 0.000
C 0.500 0.500 0.000
V 0.323 0.823 0.000
V 0.823 0.677 0.000
V 0.677 0.177 0.000
V 0.177 0.323 0.000
F 0.332 0.832 0.500
F 0.832 0.668 0.500
F 0.668 0.168 0.500
F 0.168 0.332 0.500
CELL_PARAMETERS angstrom
-2.625 4.470 -1.727
-2.779 -3.024 -3.604
-2.789 -0.609 2.662



Most stable of them? <x>.



<w>
! WC3F PBE+U relaxed; values from VASP
! * magnetization: 0.00 μB/atom
&SYSTEM
  ibrav = 0, nat = 5, ntyp = 3
/
ATOMIC_SPECIES
C 12.01 C.upf
W 183.84 W.upf
F 19.00 F.upf
ATOMIC_POSITIONS crystal
C 0.000 0.500 0.000
C 0.000 0.000 0.500
C 0.500 0.000 0.000
W 0.000 0.000 0.000
F 0.500 0.500 0.500
CELL_PARAMETERS angstrom
-0.786 -3.013 2.700
3.823 0.348 1.501
-1.325 2.791 2.728



<x>
! WC3F PBE+U relaxed; values from VASP
! * magnetization: 0.00 μB/atom
&SYSTEM
  ibrav = 0, nat = 5, ntyp = 3
/
ATOMIC_SPECIES
C 12.01 C.upf
W 183.84 W.upf
F 19.00 F.upf
ATOMIC_POSITIONS crystal
C 0.000 0.500 0.000
C 0.000 0.000 0.500
C 0.500 0.000 0.000
W 0.500 0.500 0.500
F 0.000 0.000 0.000
CELL_PARAMETERS angstrom
-2.952 -1.451 1.447
2.049 -2.150 2.023
0.049 2.487 2.593



Most stable of them? <w>.